VASP calculation (PBE) on ZnMo after structural relaxation.

Cell lengths 4.273, 12.165, 3.430 Å; angles 90.00, 90.00, 90.00 degrees
Space group Cmmm (No. 65)
Asymmetric unit:
Zn 0.000 0.000 0.000 [2 per cell]
Zn 0.000 0.155 0.500 [4 per cell]
Mo 0.000 0.327 0.000 [4 per cell]
Mo 0.000 0.500 0.500 [2 per cell]

Calculated values
Total moment: 0.000 μB per cell
Electronic total energy: -5.93 eV per atom
Energy above the most stable polymorph in this dataset: 57.6 meV/atom